{
  "formula": "Li2VCdP",
  "functional": "PBE",
  "state": "optimized geometry",
  "ef_mev_per_atom": -89,
  "spacegroup": "P4/mmm",
  "cell": [[4.5665, 0.0000, 0.0000], [0.0000, 4.5665, 0.0000], [0.0000, 0.0000, 4.5974]],
  "species": ["Li", "Li", "V", "Cd", "P"],
  "fractional_positions": [[0.0000, 0.5000, 0.0000], [0.5000, 0.0000, 0.0000], [0.0000, 0.0000, 0.5000], [0.5000, 0.5000, 0.5000], [0.0000, 0.0000, 0.0000]]
}

---

{
  "formula": "K2ReSnN4",
  "functional": "PBE",
  "state": "optimized geometry",
  "e_form_raw_ev_per_atom": -0.055,
  "spacegroup": "Pmn2_1",
  "cell": [[7.0180, 0.0000, 0.0000], [0.0000, 7.3081, 0.0000], [0.0000, 0.0000, 6.0698]],
  "species": ["K", "K", "K", "K", "Re", "Re", "Sn", "Sn", "N", "N", "N", "N", "N", "N", "N", "N"],
  "fractional_positions": [[0.2482, 0.1702, 0.0000], [0.2518, 0.8298, 0.5000], [0.7482, 0.8298, 0.5000], [0.7518, 0.1702, 0.0000], [0.0000, 0.6509, 0.9794], [0.5000, 0.3491, 0.4794], [0.0000, 0.3551, 0.4877], [0.5000, 0.6449, 0.9877], [0.0000, 0.4431, 0.1472], [0.0000, 0.5944, 0.6854], [0.2160, 0.7934, 0.0337], [0.2840, 0.2066, 0.5337], [0.5000, 0.4056, 0.1854], [0.5000, 0.5569, 0.6472], [0.7160, 0.2066, 0.5337], [0.7840, 0.7934, 0.0337]]
}

---

{
  "formula": "RbP2PtW",
  "functional": "PBE",
  "state": "optimized geometry",
  "ef_mev_per_atom": 221,
  "spacegroup": "P4/mmm",
  "cell": [[4.7452, 0.0000, 0.0000], [0.0000, 4.7452, 0.0000], [0.0000, 0.0000, 5.1563]],
  "species": ["Rb", "P", "P", "Pt", "W"],
  "fractional_positions": [[0.0000, 0.0000, 0.0000], [0.0000, 0.5000, 0.5000], [0.5000, 0.0000, 0.5000], [0.5000, 0.5000, 0.0000], [0.5000, 0.5000, 0.5000]]
}